KCdW4 (PBE, optimized geometry); theoretical density = 12.4 g/cm³; crystal system = cubic; space-group type = No. 216; calculated volume = 118 Å³/cell; raw total energy = -7.783 eV per atom; calculated formation energy = 7.13 eV per formula unit
1.0
0.000 3.898 3.898
3.898 0.000 3.898
3.898 3.898 0.000
K Cd W
1 1 4
direct
0.000 0.000 0.000
0.250 0.250 0.250
0.122 0.626 0.626
0.626 0.122 0.626
0.626 0.626 0.122
0.626 0.626 0.626

***

K2CdW (PBE, optimized geometry); theoretical density = 4.9 g/cm³; crystal system = orthorhombic; space-group type = No. 44; calculated volume = 126 Å³/cell; raw total energy = -2.865 eV per atom; calculated formation energy = 4.60 eV per formula unit
1.0
-1.424 3.264 6.793
1.424 -3.264 6.793
1.424 3.264 -6.793
K Cd W
2 1 1
direct
0.000 0.000 0.000
0.697 0.197 0.500
0.436 0.436 0.000
0.255 0.755 0.500

***

K2CdW (PBE, optimized geometry); theoretical density = 6.1 g/cm³; crystal system = orthorhombic; space-group type = No. 47; calculated volume = 102 Å³/cell; raw total energy = -2.731 eV per atom; calculated formation energy = 5.14 eV per formula unit
1.0
2.960 0.000 0.000
0.000 5.562 0.000
0.000 0.000 6.216
K Cd W
2 1 1
direct
0.000 0.000 0.000
0.500 0.500 0.000
0.000 0.500 0.500
0.500 0.000 0.500

***

KCdW (PBE, optimized geometry); theoretical density = 8.2 g/cm³; energy above the most stable polymorph in this dataset = 0.017 eV/atom; crystal system = tetragonal; space-group type = No. 107; calculated volume = 68 Å³/cell; raw total energy = -3.981 eV per atom; calculated formation energy = 3.02 eV per formula unit
1.0
-1.415 1.415 8.477
1.415 -1.415 8.477
1.415 1.415 -8.477
K Cd W
1 1 1
direct
0.000 0.000 0.000
0.689 0.689 0.000
0.324 0.324 0.000

***

KCdW (PBE, optimized geometry); theoretical density = 5.6 g/cm³; energy above the most stable polymorph in this dataset = 0.890 eV/atom; crystal system = cubic; space-group type = No. 216; calculated volume = 99 Å³/cell; raw total energy = -3.109 eV per atom; calculated formation energy = 5.64 eV per formula unit
1.0
0.000 3.671 3.671
3.671 0.000 3.671
3.671 3.671 0.000
K Cd W
1 1 1
direct
0.000 0.000 0.000
0.250 0.250 0.250
0.500 0.500 0.500

***

KCdW (PBE, optimized geometry); theoretical density = 8.4 g/cm³; energy above the most stable polymorph in this dataset = 0.004 eV/atom; crystal system = orthorhombic; space-group type = No. 42; calculated volume = 66 Å³/cell; raw total energy = -3.995 eV per atom; calculated formation energy = 2.98 eV per formula unit
1.0
0.000 2.325 8.728
1.625 0.000 8.728
1.625 2.325 0.000
K Cd W
1 1 1
direct
0.000 0.000 0.000
0.682 0.682 0.318
0.327 0.327 0.673